Ho2AlGa2Ru5 | GGA-PBE | optimized geometry

```
Ho2AlGa2Ru5
1.0
-2.8887 1.5336 -0.8865
-4.9383 -5.4912 6.5924
1.5470 6.9119 6.9161
Ho Al Ga Ru
4 2 4 10
direct
0.0000 0.6694 0.1694 Ho
0.0000 0.3306 0.8306 Ho
0.0000 0.1694 0.3306 Ho
0.0000 0.8306 0.6694 Ho
0.0000 0.0000 0.0000 Al
0.0000 0.5000 0.5000 Al
0.0000 0.1309 0.6309 Ga
0.0000 0.8691 0.3691 Ga
0.0000 0.6309 0.8691 Ga
0.0000 0.3691 0.1309 Ga
0.5000 0.1929 0.0626 Ru
0.5000 0.8071 0.9374 Ru
0.5000 0.0626 0.8071 Ru
0.5000 0.6929 0.4374 Ru
0.5000 0.9374 0.1929 Ru
0.5000 0.3071 0.5626 Ru
0.5000 0.5626 0.6929 Ru
0.5000 0.4374 0.3071 Ru
0.5000 0.5000 0.0000 Ru
0.5000 0.0000 0.5000 Ru
```

Calculated values
* energy of formation from the pure elements: -0.3740 eV per atom
* total energy: -6.907 eV/atom
* symmetry: No. 127